Record 1
The following is a PBE calculation of an optimized crystal structure of Li4Tb3HfS8, from Alexandria via LeMat-Bulk.

Cell: 7.6791 7.6791 18.5425 Å, 90.00 90.00 120.00°
Last column: nearest neighbours and their distance in Å.
Space group R-3m (No. 166, hexagonal axes)
Symmetry-distinct sites (fractional):
Li1 0.0000 0.0000 0.0000 (multiplicity 3)  6 S 2.80
Li2 0.0000 0.5000 0.0000 (multiplicity 9)  6 S 2.66-2.68
Tb1 0.0000 0.5000 0.5000 (multiplicity 9)  6 S 2.73-2.75
Hf1 0.0000 0.0000 0.5000 (multiplicity 3)  6 S 2.61
S1 0.0000 0.0000 0.2525 (multiplicity 6)  3 Li 2.68, 3 Tb 2.73
S2 0.0170 0.5085 0.2496 (multiplicity 18)  1 Hf 2.61, 3 Li 2.66-2.80, 2 Tb 2.75

Calculated volume in Å³/f.u.: 316
Uncorrected formation energy in kJ per mole of atoms: -168
Electronic total energy in eV per atom: -5.770

---

Record 2
The following is a PBE calculation of an optimized crystal structure of Li2TbHf2S6, from Alexandria via LeMat-Bulk.

Cell: 6.4164 11.2256 6.5728 Å, 90.00 109.24 90.00°
Last column: nearest neighbours and their distance in Å.
Space group C2/m (No. 12)
Symmetry-distinct sites (fractional):
Li1 0.0000 0.1653 0.0000 (multiplicity 4)  6 S 2.59-2.72
Tb1 0.0000 0.0000 0.5000 (multiplicity 2)  6 S 2.72-2.73
Hf1 0.0000 0.3347 0.5000 (multiplicity 4)  6 S 2.57-2.58
S1 0.2310 0.5000 0.7449 (multiplicity 4)  2 Hf 2.58, 2 Li 2.71, 1 Tb 2.72
S2 0.2454 0.3225 0.2580 (multiplicity 8)  2 Hf 2.57-2.58, 2 Li 2.59-2.72, 1 Tb 2.73

Calculated volume in Å³/f.u.: 223
Uncorrected formation energy in kJ per mole of atoms: -158
Electronic total energy in eV per atom: -6.469

---

Record 3
The following is a PBE calculation of an optimized crystal structure of LiHfTe2S6, from Alexandria via LeMat-Bulk.

Cell: 6.6564 6.6564 18.1559 Å, 90.00 90.00 120.00°
Last column: nearest neighbours and their distance in Å.
Space group R3 (No. 146, hexagonal axes)
Symmetry-distinct sites (fractional):
Li1 0.0000 0.0000 0.0000 (multiplicity 3)  6 S 2.62-2.72
Hf1 0.0000 0.0000 0.5198 (multiplicity 3)  6 S 2.48-2.66
Te1 0.0000 0.0000 0.3115 (multiplicity 3)  6 S 2.60-2.77
Te2 0.0000 0.0000 0.7772 (multiplicity 3)  3 S 2.57
S1 0.0215 0.6795 0.5818 (multiplicity 9)  1 Hf 2.48, 1 Te 2.60, 1 Li 2.62
S2 0.0601 0.3587 0.0869 (multiplicity 9)  2 Te 2.57-2.77, 1 Hf 2.66, 1 Li 2.72

Calculated volume in Å³/f.u.: 232
Uncorrected formation energy in kJ per mole of atoms: -48
Electronic total energy in eV per atom: -4.786

---

Record 4
The following is a PBE calculation of an optimized crystal structure of Li4HfTi3S8, from Alexandria via LeMat-Bulk.

Cell: 7.0271 7.0271 18.4998 Å, 90.00 90.00 120.00°
Last column: nearest neighbours and their distance in Å.
Space group R-3m (No. 166, hexagonal axes)
Symmetry-distinct sites (fractional):
Li1 0.0000 0.0000 0.0000 (multiplicity 3)  6 S 2.55
Li2 0.0000 0.5000 0.0000 (multiplicity 9)  6 S 2.60
Hf1 0.0000 0.0000 0.5000 (multiplicity 3)  6 S 2.54
Ti1 0.0000 0.5000 0.5000 (multiplicity 9)  6 S 2.50
S1 0.0000 0.0000 0.2452 (multiplicity 6)  3 Ti 2.50, 3 Li 2.60
S2 0.0059 0.5029 0.7530 (multiplicity 18)  2 Ti 2.50, 1 Hf 2.54, 3 Li 2.55-2.60

Calculated volume in Å³/f.u.: 264
Uncorrected formation energy in kJ per mole of atoms: -139
Electronic total energy in eV per atom: -6.083

---

Record 5
The following is a PBE calculation of an optimized crystal structure of Li3Hf3TiS8, from Alexandria via LeMat-Bulk.

Cell: 12.3186 7.1175 7.4896 Å, 90.00 123.18 90.00°
Last column: nearest neighbours and their distance in Å.
Space group C2/m (No. 12)
Symmetry-distinct sites (fractional):
Li1 0.0000 0.0000 0.0000 (multiplicity 2)  6 S 2.59-2.61
Li2 0.2500 0.2500 0.0000 (multiplicity 4)  6 S 2.59-2.61
Hf1 0.0000 0.5000 0.5000 (multiplicity 2)  6 S 2.56-2.57
Hf2 0.2500 0.2500 0.5000 (multiplicity 4)  6 S 2.56-2.57
Ti1 0.0000 0.0000 0.5000 (multiplicity 2)  6 S 2.51
S1 0.0023 0.2453 0.2614 (multiplicity 8)  1 Ti 2.51, 2 Hf 2.56, 2 Li 2.61
S2 0.2430 0.0000 0.7384 (multiplicity 4)  1 Ti 2.51, 2 Hf 2.56, 2 Li 2.61
S3 0.2492 0.5000 0.7476 (multiplicity 4)  3 Hf 2.57, 3 Li 2.59

Calculated volume in Å³/f.u.: 275
Uncorrected formation energy in kJ per mole of atoms: -146
Electronic total energy in eV per atom: -6.609

---

Record 6
The following is a PBE calculation of an optimized crystal structure of Li2Hf2TiS6, from Alexandria via LeMat-Bulk.

Cell: 6.1580 10.6603 6.5819 Å, 90.00 108.28 90.00°
Last column: nearest neighbours and their distance in Å.
Space group C2/m (No. 12)
Symmetry-distinct sites (fractional):
Li1 0.0000 0.1693 0.0000 (multiplicity 4)  6 S 2.61-2.63
Hf1 0.0000 0.3339 0.5000 (multiplicity 4)  6 S 2.55-2.56
Ti1 0.0000 0.0000 0.5000 (multiplicity 2)  6 S 2.50-2.51
S1 0.2441 0.1639 0.7394 (multiplicity 8)  1 Ti 2.51, 2 Hf 2.55-2.56, 2 Li 2.61-2.63
S2 0.2456 0.0000 0.2610 (multiplicity 4)  1 Ti 2.50, 2 Hf 2.55, 2 Li 2.62

Calculated volume in Å³/f.u.: 205
Uncorrected formation energy in kJ per mole of atoms: -145
Electronic total energy in eV per atom: -6.633

---

Number 2 is which compound? Li2TbHf2S6